DFT (GGA+U) results for a geometry-optimized CrIrNO2 structure.

a b c (Å): 3.5814 3.5814 4.0747
angles (deg): 90.00 90.00 90.00
Closest atoms and distances in Å follow each position.
Space group P4/mmm (No. 123)
One atom of each set of equivalent atoms:
1 Cr 0.0000 0.0000 0.0000 x1  4 O 1.79
2 Ir 0.5000 0.5000 0.5000 x1  4 N 2.53, 8 O 2.71
3 N 0.0000 0.0000 0.5000 x1  2 Cr 2.04
4 O 0.0000 0.5000 0.0000 x2  2 Cr 1.79

Computed properties:
* raw total energy: -30.9 eV/f.u.
* density of states at the Fermi level: 6.3 states/eV/cell